# 1
Compound: YPaSn
Source: OQMD
Functional: GGA-PBE
Structure: relaxed

Cell and atoms, written as extended XYZ:
```
3
Lattice="0.0000 3.6299 3.6299 3.6299 0.0000 3.6299 3.6299 3.6299 0.0000" Properties=species:S:1:pos:R:3 pbc="T T T"
Pa 3.6299 3.6299 3.6299
Sn 1.8149 1.8149 1.8149
Y 0.0000 0.0000 0.0000
```

Output
**Energy relative to the lowest polymorph listed for this composition**: 0 meV/atom
**Mass density**: 7.6 g cm⁻³
**SG**: F-43m (216)

---

# 2
Compound: La2Nd2CI5
Source: OQMD
Functional: GGA-PBE
Structure: relaxed

Cell and atoms, written as extended XYZ:
```
10
Lattice="-9.0886 3.3194 2.4863 -7.8019 1.5862 6.0346 5.2027 7.1799 1.6207" Properties=species:S:1:pos:R:3 pbc="T T T"
C -8.4452 2.4528 4.2605
I -13.0798 5.3033 7.3334
I -1.0394 3.2561 1.9675
I -5.8439 6.0427 5.0708
I -10.6483 8.8294 8.1742
I 1.3921 6.7822 2.8082
La -15.8474 6.3080 8.8278
La 4.1597 5.7774 1.3139
Nd -10.3451 3.5859 5.5029
Nd -1.3427 8.4996 4.6388
```

Output
**E**: -47.88 eV for the cell shown
**Mass density**: 5.6 g cm⁻³
**SG**: C2/m (12)

---

- Which value of mass density does entry 2 give?
  5.6 g cm⁻³

---

- mass density of number 2 (La2Nd2CI5)?
  5.6 g cm⁻³